A plane-wave DFT calculation with GGA-PBE was carried out for a relaxed structure of Cs2CuBrCl6.

Output
Total moment: 0.0 Bohr magnetons per cell
Energy relative to the elements, uncorrected: -1.019 eV/atom

a b c (Å): 7.7320 7.7320 7.7320
angles (deg): 120.29 120.29 89.50
Fractional positions:
Cs 0.2500 0.7500 0.5000
Cs 0.7500 0.2500 0.5000
Cu 0.0000 0.0000 0.0000
Br 0.5000 0.5000 0.0000
Cl 0.2026 0.2026 0.4052
Cl 0.2026 0.7974 0.0000
Cl 0.2813 0.2813 0.0000
Cl 0.7187 0.7187 0.0000
Cl 0.7974 0.2026 0.0000
Cl 0.7974 0.7974 0.5948